This record from the Alexandria database describes an optimized crystal structure of SnP2CS. The functional is PBE.

a b c (Å): 5.1317 5.1317 4.9460
angles (deg): 90.00 90.00 90.00
Each line ends with the local moment (μB).
Element x y z (fractional)
C 0.5000 0.5000 0.5000  0.80
P 0.0000 0.5000 0.0000  -0.44
P 0.5000 0.0000 0.0000  -0.44
S 0.0000 0.0000 0.5000  -0.06
Sn 0.0000 0.0000 0.0000  0.02

Calculated values
Spin magnetization = 0.4 μB per formula unit
SG = P4/mmm (123)


This record from the Alexandria database describes an optimized crystal structure of Ca2BeNi. The functional is PBE.

a b c (Å): 4.8545 4.8537 3.5417
angles (deg): 90.00 90.00 90.00
Element x y z (fractional)
Ni 0.5000 0.0000 0.5000
Ca 0.0000 0.0000 0.0000
Ca 0.5000 0.5000 0.0000
Be 0.0000 0.5000 0.5000

Calculated values
E_form = 234 meV/atom
Spin magnetization = 0.0 μB per formula unit
SG = P4/mmm (123)


What calculated density values result from the calculations? In sequence: 2.87, 2.94 g/cm3.
What DFT total energy values result from the calculations? In sequence: -3.319, -3.143 eV per atom.